A relaxed structure of YSb, computed with PBE-GGA.

a = 3.449 Å, b = 3.449 Å, c = 12.085 Å
α = 90.00°, β = 90.00°, γ = 120.00°
Fractional coordinates of all 4 atoms:
1 Y 0.667 0.333 0.749
2 Sb 0.667 0.333 0.285
3 Sb 0.000 0.000 0.965
4 Y 0.000 0.000 0.501

Summary:
- Spin magnetization: 0.0 μB per cell
- DFT total energy: -5.442 eV per atom
- Mass density: 5.62 g/cm³
- ΔE_f (raw): -0.15 eV/atom